{
  "formula": "Lu2Mo4C3S3",
  "functional": "PBE",
  "state": "optimized geometry",
  "lattice_angstrom": [[4.984, -2.896, 0.000], [4.984, 2.896, 0.000], [-3.127, 0.000, 11.754]],
  "species": ["Lu", "Lu", "Lu", "Lu", "Mo", "Mo", "Mo", "Mo", "Mo", "Mo", "Mo", "Mo", "C", "C", "C", "C", "C", "C", "S", "S", "S", "S", "S", "S"],
  "fractional_positions": [[0.037, 0.875, 0.613], [0.125, 0.963, 0.887], [0.875, 0.037, 0.113], [0.963, 0.125, 0.387], [0.198, 0.353, 0.084], [0.302, 0.478, 0.414], [0.353, 0.198, 0.584], [0.478, 0.302, 0.914], [0.522, 0.698, 0.086], [0.647, 0.802, 0.416], [0.698, 0.522, 0.586], [0.802, 0.647, 0.916], [0.000, 0.500, 0.500], [0.172, 0.654, 0.000], [0.346, 0.828, 0.500], [0.500, 0.000, 0.000], [0.654, 0.172, 0.500], [0.828, 0.346, 0.000], [0.080, 0.284, 0.748], [0.284, 0.080, 0.248], [0.447, 0.553, 0.750], [0.553, 0.447, 0.250], [0.716, 0.920, 0.752], [0.920, 0.716, 0.252]]
}

{
  "formula": "Lu2Sb3Mo4C3",
  "functional": "PBE",
  "state": "optimized geometry",
  "lattice_angstrom": [[5.004, -2.926, 0.000], [5.004, 2.926, 0.000], [-2.722, 0.000, 13.524]],
  "species": ["Lu", "Lu", "Lu", "Lu", "Sb", "Sb", "Sb", "Sb", "Sb", "Sb", "Mo", "Mo", "Mo", "Mo", "Mo", "Mo", "Mo", "Mo", "C", "C", "C", "C", "C", "C"],
  "fractional_positions": [[0.030, 0.869, 0.601], [0.131, 0.970, 0.899], [0.869, 0.030, 0.101], [0.970, 0.131, 0.399], [0.073, 0.306, 0.744], [0.306, 0.073, 0.244], [0.459, 0.541, 0.750], [0.541, 0.459, 0.250], [0.694, 0.927, 0.756], [0.927, 0.694, 0.256], [0.192, 0.339, 0.072], [0.305, 0.498, 0.426], [0.339, 0.192, 0.572], [0.498, 0.305, 0.926], [0.502, 0.695, 0.074], [0.661, 0.808, 0.428], [0.695, 0.502, 0.574], [0.808, 0.661, 0.928], [0.000, 0.500, 0.500], [0.172, 0.650, 0.998], [0.350, 0.828, 0.502], [0.500, 0.000, 0.000], [0.650, 0.172, 0.498], [0.828, 0.350, 0.002]]
}

{
  "formula": "LuScMo2C3",
  "functional": "PBE",
  "state": "optimized geometry",
  "lattice_angstrom": [[5.594, -1.649, 0.000], [5.594, 1.649, 0.000], [-1.917, 0.000, 5.183]],
  "species": ["Lu", "Sc", "Mo", "Mo", "C", "C", "C"],
  "fractional_positions": [[0.000, 0.000, 0.000], [0.237, 0.237, 0.630], [0.471, 0.471, 0.456], [0.762, 0.762, 0.177], [0.345, 0.345, 0.061], [0.618, 0.618, 0.325], [0.882, 0.882, 0.564]]
}

{
  "formula": "Lu2Si3Mo4C3",
  "functional": "PBE",
  "state": "optimized geometry",
  "lattice_angstrom": [[4.682, -2.717, 0.000], [4.682, 2.717, 0.000], [-3.247, 0.000, 13.170]],
  "species": ["Lu", "Lu", "Lu", "Lu", "Si", "Si", "Si", "Si", "Si", "Si", "Mo", "Mo", "Mo", "Mo", "Mo", "Mo", "Mo", "Mo", "C", "C", "C", "C", "C", "C"],
  "fractional_positions": [[0.041, 0.876, 0.618], [0.124, 0.959, 0.882], [0.876, 0.041, 0.118], [0.959, 0.124, 0.382], [0.087, 0.398, 0.750], [0.398, 0.087, 0.250], [0.430, 0.570, 0.250], [0.570, 0.430, 0.750], [0.602, 0.913, 0.750], [0.913, 0.602, 0.250], [0.195, 0.354, 0.082], [0.298, 0.481, 0.417], [0.354, 0.195, 0.582], [0.481, 0.298, 0.917], [0.519, 0.702, 0.083], [0.646, 0.805, 0.418], [0.702, 0.519, 0.583], [0.805, 0.646, 0.918], [0.000, 0.500, 0.500], [0.167, 0.665, 0.000], [0.335, 0.833, 0.500], [0.500, 0.000, 0.000], [0.665, 0.167, 0.500], [0.833, 0.335, 0.000]]
}

{
  "formula": "Lu4Si3Mo2C3",
  "functional": "PBE",
  "state": "optimized geometry",
  "lattice_angstrom": [[4.974, -2.895, 0.000], [4.974, 2.895, 0.000], [-3.321, 0.000, 13.264]],
  "species": ["Lu", "Lu", "Lu", "Lu", "Lu", "Lu", "Lu", "Lu", "Si", "Si", "Si", "Si", "Si", "Si", "Mo", "Mo", "Mo", "Mo", "C", "C", "C", "C", "C", "C"],
  "fractional_positions": [[0.042, 0.193, 0.104], [0.123, 0.300, 0.396], [0.193, 0.042, 0.604], [0.300, 0.123, 0.896], [0.700, 0.877, 0.104], [0.807, 0.958, 0.396], [0.877, 0.700, 0.604], [0.958, 0.807, 0.896], [0.171, 0.829, 0.250], [0.337, 0.413, 0.751], [0.413, 0.337, 0.251], [0.587, 0.663, 0.749], [0.663, 0.587, 0.249], [0.829, 0.171, 0.750], [0.349, 0.525, 0.078], [0.475, 0.651, 0.422], [0.525, 0.349, 0.578], [0.651, 0.475, 0.922], [0.000, 0.500, 0.000], [0.188, 0.656, 0.500], [0.344, 0.812, 0.000], [0.500, 0.000, 0.500], [0.656, 0.188, 0.000], [0.812, 0.344, 0.500]]
}

{
  "formula": "Lu4Sn3Mo2C3",
  "functional": "PBE",
  "state": "optimized geometry",
  "lattice_angstrom": [[5.056, -2.950, 0.000], [5.056, 2.950, 0.000], [-3.221, 0.000, 14.504]],
  "species": ["Lu", "Lu", "Lu", "Lu", "Lu", "Lu", "Lu", "Lu", "Sn", "Sn", "Sn", "Sn", "Sn", "Sn", "Mo", "Mo", "Mo", "Mo", "C", "C", "C", "C", "C", "C"],
  "fractional_positions": [[0.037, 0.187, 0.090], [0.130, 0.304, 0.410], [0.187, 0.037, 0.590], [0.304, 0.130, 0.910], [0.696, 0.870, 0.090], [0.813, 0.963, 0.410], [0.870, 0.696, 0.590], [0.963, 0.813, 0.910], [0.130, 0.870, 0.250], [0.282, 0.418, 0.750], [0.418, 0.282, 0.250], [0.582, 0.718, 0.750], [0.718, 0.582, 0.250], [0.870, 0.130, 0.750], [0.344, 0.522, 0.072], [0.478, 0.656, 0.428], [0.522, 0.344, 0.572], [0.656, 0.478, 0.928], [0.000, 0.500, 0.000], [0.192, 0.654, 0.500], [0.346, 0.808, 0.000], [0.500, 0.000, 0.500], [0.654, 0.192, 0.000], [0.808, 0.346, 0.500]]
}

{
  "formula": "Lu2Tl3Mo4C3",
  "functional": "PBE",
  "state": "optimized geometry",
  "lattice_angstrom": [[4.943, -2.873, 0.000], [4.943, 2.873, 0.000], [-3.396, 0.000, 14.184]],
  "species": ["Lu", "Lu", "Lu", "Lu", "Tl", "Tl", "Tl", "Tl", "Tl", "Tl", "Mo", "Mo", "Mo", "Mo", "Mo", "Mo", "Mo", "Mo", "C", "C", "C", "C", "C", "C"],
  "fractional_positions": [[0.035, 0.877, 0.599], [0.123, 0.965, 0.901], [0.877, 0.035, 0.099], [0.965, 0.123, 0.401], [0.084, 0.306, 0.753], [0.306, 0.084, 0.253], [0.470, 0.530, 0.750], [0.530, 0.470, 0.250], [0.694, 0.916, 0.747], [0.916, 0.694, 0.247], [0.193, 0.348, 0.069], [0.301, 0.483, 0.431], [0.348, 0.193, 0.569], [0.483, 0.301, 0.931], [0.517, 0.699, 0.069], [0.652, 0.807, 0.431], [0.699, 0.517, 0.569], [0.807, 0.652, 0.931], [0.000, 0.500, 0.500], [0.171, 0.658, 0.001], [0.342, 0.829, 0.499], [0.500, 0.000, 0.000], [0.658, 0.171, 0.501], [0.829, 0.342, 0.999]]
}

{
  "formula": "TmLuMo2C3",
  "functional": "PBE",
  "state": "optimized geometry",
  "lattice_angstrom": [[5.626, -1.672, 0.000], [5.626, 1.672, 0.000], [-1.817, 0.000, 5.316]],
  "species": ["Tm", "Lu", "Mo", "Mo", "C", "C", "C"],
  "fractional_positions": [[0.000, 0.000, 0.000], [0.769, 0.769, 0.363], [0.237, 0.237, 0.813], [0.533, 0.533, 0.549], [0.117, 0.117, 0.435], [0.384, 0.384, 0.679], [0.654, 0.654, 0.929]]
}

{
  "formula": "Lu4Zn3Mo2C3",
  "functional": "PBE",
  "state": "optimized geometry",
  "lattice_angstrom": [[4.999, -2.909, 0.000], [4.999, 2.909, 0.000], [-3.646, 0.000, 13.770]],
  "species": ["Lu", "Lu", "Lu", "Lu", "Lu", "Lu", "Lu", "Lu", "Zn", "Zn", "Zn", "Zn", "Zn", "Zn", "Mo", "Mo", "Mo", "Mo", "C", "C", "C", "C", "C", "C"],
  "fractional_positions": [[0.051, 0.189, 0.102], [0.115, 0.298, 0.398], [0.189, 0.051, 0.602], [0.298, 0.115, 0.898], [0.702, 0.885, 0.102], [0.811, 0.949, 0.398], [0.885, 0.702, 0.602], [0.949, 0.811, 0.898], [0.169, 0.831, 0.250], [0.333, 0.417, 0.752], [0.417, 0.333, 0.252], [0.583, 0.667, 0.748], [0.667, 0.583, 0.248], [0.831, 0.169, 0.750], [0.344, 0.525, 0.068], [0.475, 0.656, 0.432], [0.525, 0.344, 0.568], [0.656, 0.475, 0.932], [0.000, 0.500, 0.000], [0.191, 0.655, 0.500], [0.345, 0.809, 0.000], [0.500, 0.000, 0.500], [0.655, 0.191, 0.000], [0.809, 0.345, 0.500]]
}

{
  "formula": "Lu3PCN",
  "functional": "PBE",
  "state": "optimized geometry",
  "lattice_angstrom": [[3.478, 0.000, 0.000], [-1.739, 3.012, 0.000], [0.000, 0.000, 18.581]],
  "species": ["Lu", "Lu", "Lu", "Lu", "Lu", "Lu", "P", "P", "C", "C", "N", "N"],
  "fractional_positions": [[0.000, 0.000, 0.000], [0.000, 0.000, 0.500], [0.333, 0.667, 0.143], [0.333, 0.667, 0.351], [0.667, 0.333, 0.649], [0.667, 0.333, 0.857], [0.000, 0.000, 0.244], [0.000, 0.000, 0.756], [0.333, 0.667, 0.581], [0.667, 0.333, 0.419], [0.333, 0.667, 0.926], [0.667, 0.333, 0.074]]
}

{
  "formula": "Lu4P2CN",
  "functional": "PBE",
  "state": "optimized geometry",
  "lattice_angstrom": [[3.567, 0.000, 0.000], [-1.784, 3.089, 0.000], [0.000, 0.000, 12.700]],
  "species": ["Lu", "Lu", "Lu", "Lu", "P", "P", "C", "N"],
  "fractional_positions": [[0.333, 0.667, 0.104], [0.333, 0.667, 0.396], [0.667, 0.333, 0.604], [0.667, 0.333, 0.896], [0.333, 0.667, 0.746], [0.667, 0.333, 0.254], [0.000, 0.000, 0.000], [0.000, 0.000, 0.500]]
}

{
  "formula": "Lu3PbCN",
  "functional": "PBE",
  "state": "optimized geometry",
  "lattice_angstrom": [[3.469, 0.000, 0.000], [-1.734, 3.004, 0.000], [0.000, 0.000, 21.271]],
  "species": ["Lu", "Lu", "Lu", "Lu", "Lu", "Lu", "Pb", "Pb", "C", "C", "N", "N"],
  "fractional_positions": [[0.000, 0.000, 0.000], [0.000, 0.000, 0.500], [0.333, 0.667, 0.122], [0.333, 0.667, 0.374], [0.667, 0.333, 0.626], [0.667, 0.333, 0.878], [0.000, 0.000, 0.245], [0.000, 0.000, 0.755], [0.333, 0.667, 0.571], [0.667, 0.333, 0.429], [0.333, 0.667, 0.934], [0.667, 0.333, 0.066]]
}

Magnetization (μB per cell)
0.00; 0.00; 0.00; 0.01; 0.00; 0.00; 0.05; 0.00; 0.00; 0.00; 0.00; 0.30
Energy (eV/atom)
-8.32; -7.95; -8.97; -8.43; -7.51; -7.09; -7.40; -8.70; -6.29; -7.17; -6.96; -6.73